This record from the Alexandria database describes a geometry-optimized Cr3IrRh3 structure. The functional is GGA-PBE.

a b c (Å): 5.9241 5.9241 5.6776
angles (deg): 90.00 90.00 89.95
Sites, in units of the cell vectors:
Cr: 0.0002 0.0002 0.2472
Cr: 0.4998 0.0002 0.2494
Rh: 0.7314 0.2686 0.5000
Rh: 0.2738 0.2738 0.5003
Cr: 0.9998 0.9998 0.7528
Rh: 0.2816 0.7184 0.0000
Cr: 0.0002 0.4998 0.2494
Ir: 0.7363 0.7363 0.0002
Rh: 0.7262 0.7262 0.4997
Ir: 0.2637 0.2637 0.9998
Rh: 0.7184 0.2816 0.0000
Cr: 0.5002 0.9998 0.7506
Cr: 0.9998 0.5002 0.7506
Rh: 0.2686 0.7314 0.5000

Values from the calculation:
Uncorrected energy (eV per cell): -118.3
Magnetic moment (μB per cell): 3.57
Space-group type: Cmmm (65)
Theoretical density (g/cm³): 10.949

***

This record from the Alexandria database describes a geometry-optimized SiTcPb3 structure. The functional is GGA-PBE.

a b c (Å): 5.3185 5.3185 5.3185
angles (deg): 90.00 90.00 90.00
Sites, in units of the cell vectors:
Si: 0.0000 0.0000 0.0000
Pb: 0.0000 0.5000 0.0000
Pb: 0.5000 0.0000 0.0000
Pb: 0.0000 0.0000 0.5000
Tc: 0.5000 0.5000 0.5000

Values from the calculation:
Energy above the most stable polymorph in this dataset (eV/atom): 0.486
Uncorrected energy (eV per cell): -20.6
Magnetic moment (μB per cell): 3.50
Raw formation energy (kJ per mole of atoms): 122.43
Space-group type: Pm-3m (221)
Theoretical density (g/cm³): 8.253

***

This record from the Alexandria database describes a geometry-optimized SrMgTc2 structure. The functional is GGA-PBE.

a b c (Å): 5.6855 5.6855 2.7082
angles (deg): 90.00 90.00 118.98
Sites, in units of the cell vectors:
Tc: 0.5000 0.5000 0.0000
Mg: 0.5000 0.0000 0.5000
Sr: 0.0000 0.5000 0.5000
Tc: 0.0000 0.0000 0.0000

Values from the calculation:
Uncorrected energy (eV per cell): -20.6
Magnetic moment (μB per cell): 0.00
Space-group type: Cmmm (65)
Theoretical density (g/cm³): 6.677

***

This record from the Alexandria database describes a geometry-optimized YMnPRu2 structure. The functional is GGA-PBE.

a b c (Å): 4.3298 5.0367 4.3298
angles (deg): 90.00 90.00 90.00
Sites, in units of the cell vectors:
Ru: 0.5000 0.0000 0.0000
Ru: 0.0000 0.0000 0.5000
Y: 0.0000 0.5000 0.0000
P: 0.0000 0.0000 0.0000
Mn: 0.5000 0.5000 0.5000

Values from the calculation:
Uncorrected energy (eV per cell): -36.8
Magnetic moment (μB per cell): 0.11
Space-group type: P4/mmm (123)
Theoretical density (g/cm³): 6.629

***

This record from the Alexandria database describes a geometry-optimized LiCrPt2 structure. The functional is GGA-PBE.

a b c (Å): 2.7574 3.9594 5.2850
angles (deg): 90.00 90.00 90.00
Sites, in units of the cell vectors:
Pt: 0.5000 0.5000 0.2786
Pt: 0.0000 0.0000 0.9671
Cr: 0.0000 0.0000 0.4822
Li: 0.5000 0.5000 0.7721

Values from the calculation:
Uncorrected energy (eV per cell): -24.6
Magnetic moment (μB per cell): 3.11
Space-group type: Pmm2 (25)
Theoretical density (g/cm³): 12.924

***

This record from the Alexandria database describes a geometry-optimized NdNp2CoN4 structure. The functional is GGA-PBE.

a b c (Å): 3.4424 5.9090 11.3050
angles (deg): 90.00 90.00 106.94
Sites, in units of the cell vectors:
N: 0.7358 0.4717 0.8886
Co: 0.1587 0.3174 0.2500
Np: 0.3696 0.7392 0.9430
Co: 0.8413 0.6826 0.7500
N: 0.0000 0.0000 0.5000
Nd: 0.1035 0.2070 0.7500
Np: 0.6304 0.2608 0.0570
N: 0.4401 0.8802 0.7500
N: 0.2642 0.5283 0.3886
N: 0.5599 0.1198 0.2500
N: 0.2642 0.5283 0.1114
Nd: 0.8965 0.7930 0.2500
N: 0.0000 0.0000 0.0000
Np: 0.3696 0.7392 0.5570
N: 0.7358 0.4717 0.6114
Np: 0.6304 0.2608 0.4430

Values from the calculation:
Uncorrected energy (eV per cell): -158.7
Magnetic moment (μB per cell): 8.00
Raw formation energy (kJ per mole of atoms): -99.88
Space-group type: Cmcm (63)
Theoretical density (g/cm³): 11.069

***

This record from the Alexandria database describes a geometry-optimized CuMo4Ru structure. The functional is GGA-PBE.

a b c (Å): 5.1402 5.1402 5.1402
angles (deg): 60.00 60.00 60.00
Sites, in units of the cell vectors:
Mo: 0.3740 0.3740 0.3740
Mo: 0.3740 0.8781 0.3740
Mo: 0.3740 0.3740 0.8781
Mo: 0.8781 0.3740 0.3740
Ru: 0.7500 0.7500 0.7500
Cu: 0.0000 0.0000 0.0000

Values from the calculation:
Uncorrected energy (eV per cell): -54.0
Magnetic moment (μB per cell): 0.00
Space-group type: F-43m (216)
Theoretical density (g/cm³): 9.482